Run 1
NaNiF | PBE with a Hubbard U | relaxed

Structure (extended XYZ):
```
6
Lattice="2.9806 0.0000 0.0000 0.0000 5.3722 3.0483 0.0000 -5.3722 3.0483" Properties=species:S:1:pos:R:3 pbc="T T T"
Na 0.0000 -2.8442 3.0483
Na 0.0000 2.8442 3.0483
Ni 0.0000 0.0000 4.2320
Ni 1.4903 0.0000 2.1933
F 1.4903 -2.0165 1.5802
F 1.4903 2.0165 1.5802
```

Results
- SG: Amm2 (38)
- Total moment: 1.0 μB per formula unit

Run 2
NaNiF | PBE with a Hubbard U | relaxed

Structure (extended XYZ):
```
6
Lattice="3.6162 0.0000 0.0000 -1.8081 3.1317 0.0000 0.0000 0.0000 9.2017" Properties=species:S:1:pos:R:3 pbc="T T T"
Na 0.0000 0.0000 0.0000
Na 0.0000 0.0000 4.6008
Ni 0.0000 2.0878 2.3004
Ni 1.8081 1.0439 6.9012
F 0.0000 2.0878 6.9012
F 1.8081 1.0439 2.3004
```

Results
- SG: P6_3/mmc (194)
- Total moment: 1.0 μB per formula unit

Structures ranked by computed energy, the most stable listed first: run 1, run 2.

Run 1
Na3NiF6 | PBE with a Hubbard U | relaxed

Structure (extended XYZ):
```
20
Lattice="5.5148 0.0000 0.0000 0.0000 5.7578 0.0000 -5.4536 0.0000 7.9467" Properties=species:S:1:pos:R:3 pbc="T T T"
Na 0.0000 0.0000 0.0000
Na -2.7268 2.8789 3.9734
Na -2.8195 0.3403 5.9178
Na -0.0927 2.5386 1.9444
Na 0.1539 3.2192 6.0023
Na 2.8807 5.4174 2.0290
Ni 0.0306 0.0000 3.9734
Ni 2.7574 2.8789 0.0000
F -1.5185 1.0342 3.5545
F -4.2453 1.8447 7.5278
F -0.9073 4.1819 3.3994
F -3.6341 4.4548 7.3728
F 0.6710 0.3189 2.1910
F -2.0558 2.5600 6.1644
F 2.1170 3.1978 1.7824
F -0.6098 5.4388 5.7557
F 3.6953 1.3030 0.5740
F 0.9685 1.5759 4.5473
F 4.3064 3.9130 0.4189
F 1.5796 4.7236 4.3923
```

Results
- SG: P2_1/c (14)
- Total moment: 2.9 μB per formula unit

Run 2
Na3NiF6 | PBE with a Hubbard U | relaxed

Structure (extended XYZ):
```
10
Lattice="0.0000 4.1068 4.8072 3.4919 0.0000 4.8072 3.4919 4.1068 0.0000" Properties=species:S:1:pos:R:3 pbc="T T T"
Na 0.0000 0.0000 0.0000
Na 1.7460 2.0534 2.4036
Na 5.2379 6.1603 7.2109
Ni 3.4919 4.1068 4.8072
F 4.8126 4.1068 3.5327
F 3.4919 2.1159 4.8072
F 4.8126 4.1068 6.0818
F 2.1713 4.1068 3.5327
F 3.4919 6.0978 4.8072
F 2.1713 4.1068 6.0818
```

Results
- SG: Fmmm (69)
- Total moment: 1.0 μB per formula unit

Run 3
Na3NiF6 | PBE with a Hubbard U | relaxed

Structure (extended XYZ):
```
10
Lattice="0.0000 4.0528 4.0528 4.0528 0.0000 4.0528 4.0528 4.0528 0.0000" Properties=species:S:1:pos:R:3 pbc="T T T"
Na 0.0000 0.0000 0.0000
Na 2.0264 2.0264 2.0264
Na 6.0793 6.0793 6.0793
Ni 4.0528 4.0528 4.0528
F 4.0528 4.0528 2.1628
F 4.0528 2.1628 4.0528
F 5.9429 4.0528 4.0528
F 2.1628 4.0528 4.0528
F 4.0528 5.9429 4.0528
F 4.0528 4.0528 5.9429
```

Results
- SG: Fm-3m (225)
- Total moment: 1.0 μB per formula unit

Structures ranked by computed energy, the most stable listed first: run 1, run 2, run 3.

Run 1
Na2NiF4 | PBE with a Hubbard U | relaxed

Structure (extended XYZ):
```
28
Lattice="5.4748 0.0000 0.0000 0.0000 5.6710 0.0000 0.0000 0.0000 11.5347" Properties=species:S:1:pos:R:3 pbc="T T T"
Na 0.0278 0.3774 1.7672
Na 0.0278 2.4581 7.5346
Na 2.7096 3.2129 1.7672
Na 2.7096 5.2936 7.5346
Na 2.7652 0.3774 4.0001
Na 2.7652 2.4581 9.7675
Na 5.4470 3.2129 4.0001
Na 5.4470 5.2936 9.7675
Ni 0.0000 0.0000 5.7674
Ni 0.0000 2.8355 0.0000
Ni 2.7374 0.0000 0.0000
Ni 2.7374 2.8355 5.7674
F 0.5224 0.2045 7.6828
F 0.5224 2.6311 1.9155
F 1.0787 1.1417 11.1030
F 1.0787 1.6938 5.3356
F 1.6587 3.9772 11.1030
F 1.6587 4.5293 5.3356
F 2.2150 3.0400 7.6828
F 2.2150 5.4666 1.9155
F 3.2597 0.2045 9.6192
F 3.2597 2.6311 3.8519
F 3.8161 1.1417 6.1991
F 3.8161 1.6938 0.4318
F 4.3961 3.9772 6.1991
F 4.3961 4.5293 0.4318
F 4.9524 3.0400 9.6192
F 4.9524 5.4666 3.8519
```

Results
- SG: Pbca (61)
- Total moment: 2.0 μB per formula unit

Run 2
Na2NiF4 | PBE with a Hubbard U | relaxed

Structure (extended XYZ):
```
14
Lattice="6.0799 0.0000 0.0000 0.0000 5.8969 0.0000 -3.0502 0.0000 5.8296" Properties=species:S:1:pos:R:3 pbc="T T T"
Na 0.9405 1.4742 0.0525
Na 0.3241 1.4742 3.1310
Na 2.7056 4.4227 2.6985
Na 2.0891 4.4227 5.7770
Ni -0.8954 4.4227 4.5689
Ni 3.9251 1.4742 1.2607
F -0.7421 0.1676 1.4643
F -0.7421 2.7809 1.4643
F 0.8630 4.4227 3.8317
F 0.2371 1.4742 5.2821
F 2.7926 4.4227 0.5474
F 2.1667 1.4742 1.9979
F 3.7717 3.1160 4.3653
F 3.7717 5.7294 4.3653
```

Results
- SG: P2_1/m (11)
- Total moment: 2.0 μB per formula unit

Structures ranked by computed energy, the most stable listed first: run 1, run 2.

Run 1
NaNi2F | PBE with a Hubbard U | relaxed

Structure (extended XYZ):
```
8
Lattice="-2.3941 2.3941 6.9382 2.3941 -2.3941 6.9382 2.3941 2.3941 -6.9382" Properties=species:S:1:pos:R:3 pbc="T T T"
Na 2.3941 1.1970 1.7345
Na 0.0000 1.1970 5.2036
Ni 0.0000 0.0000 0.0000
Ni 1.1970 1.1970 -3.4691
Ni 1.1970 -1.1970 3.4691
Ni 0.0000 2.3941 0.0000
F 2.3941 -1.1970 5.2036
F 0.0000 3.5911 1.7345
```

Results
- SG: I4_1/amd (141)
- Total moment: 1.5 μB per formula unit

Run 2
NaNi2F | PBE with a Hubbard U | relaxed

Structure (extended XYZ):
```
4
Lattice="0.0000 3.1118 3.1118 3.1118 0.0000 3.1118 3.1118 3.1118 0.0000" Properties=species:S:1:pos:R:3 pbc="T T T"
Na 0.0000 0.0000 0.0000
Ni 1.5559 1.5559 1.5559
Ni 4.6676 4.6676 4.6676
F 3.1118 3.1118 3.1118
```

Results
- SG: Fm-3m (225)
- Total moment: 2.0 μB per formula unit

Structures ranked by computed energy, the most stable listed first: run 1, run 2.